Density functional theory data (PBE) for a relaxed structure of SiBO.

Cell lengths 3.5493, 4.5845, 4.6809 Å; angles 98.49, 110.65, 98.04 degrees
Last column: nearest neighbours and their distance in Å.
Atoms (fractional coordinates):
1 Si 0.0000 0.0000 0.0000  2 O 1.65-1.81
2 Si 0.0672 0.4904 0.6187  2 O 1.66-1.85
3 B 0.5119 0.9181 0.3279  1 O 1.47
4 B 0.5910 0.7134 0.6046  1 B 1.68
5 O 0.1648 0.3194 0.9182  2 Si 1.65-1.66
6 O 0.8442 0.1400 0.3145  1 B 1.47

**ΔE_f (raw)**: -0.96 eV per atom
**Calculated total energy**: -6.649 eV per atom
**Total magnetic moment**: 0.000 Bohr magnetons per cell



Density functional theory data (PBE) for a relaxed structure of Nd3Zn2Ge3.

Cell lengths 5.9797, 5.9797, 15.4986 Å; angles 90.00, 90.00, 138.29 degrees
Last column: nearest neighbours and their distance in Å.
Atoms (fractional coordinates):
1 Nd 0.0625 0.9375 0.7500  5 Ge 3.04-3.32, 4 Zn 3.08
2 Nd 0.3591 0.6409 0.5956  7 Ge 3.16-3.34, 4 Zn 3.20-3.35
3 Nd 0.3591 0.6409 0.9044  7 Ge 3.16-3.34, 4 Zn 3.20-3.35
4 Nd 0.6409 0.3591 0.0956  7 Ge 3.16-3.34, 4 Zn 3.20-3.35
5 Nd 0.6409 0.3591 0.4044  7 Ge 3.16-3.34, 4 Zn 3.20-3.35
6 Nd 0.9375 0.0625 0.2500  5 Ge 3.04-3.32, 4 Zn 3.08
7 Zn 0.3513 0.6487 0.1206  3 Ge 2.48-2.56
8 Zn 0.3513 0.6487 0.3794  3 Ge 2.48-2.56
9 Zn 0.6487 0.3513 0.6206  3 Ge 2.48-2.56
10 Zn 0.6487 0.3513 0.8794  3 Ge 2.48-2.56
11 Ge 0.0823 0.9177 0.5539  2 Zn 2.48, 1 Ge 2.49
12 Ge 0.0823 0.9177 0.9461  2 Zn 2.48, 1 Ge 2.49
13 Ge 0.2092 0.7908 0.2500  2 Zn 2.56
14 Ge 0.7908 0.2092 0.7500  2 Zn 2.56
15 Ge 0.9177 0.0823 0.0539  2 Zn 2.48, 1 Ge 2.49
16 Ge 0.9177 0.0823 0.4461  2 Zn 2.48, 1 Ge 2.49

**Formation enthalpy at 0 K**: -642 meV per atom
**Calculated total energy**: -4.480 eV per atom
**Total magnetic moment**: 0.000 Bohr magnetons per cell



Density functional theory data (PBE) for a relaxed structure of Ba2SeI.

Cell lengths 8.2611, 8.2611, 8.2611 Å; angles 90.00, 90.00, 90.00 degrees
Last column: nearest neighbours and their distance in Å.
Atoms (fractional coordinates):
1 Ba 0.2500 0.2500 0.2500  4 Se 3.58, 4 I 3.58
2 Ba 0.2500 0.2500 0.7500  4 Se 3.58, 4 I 3.58
3 Ba 0.2500 0.7500 0.2500  4 Se 3.58, 4 I 3.58
4 Ba 0.2500 0.7500 0.7500  4 Se 3.58, 4 I 3.58
5 Ba 0.7500 0.2500 0.2500  4 Se 3.58, 4 I 3.58
6 Ba 0.7500 0.2500 0.7500  4 Se 3.58, 4 I 3.58
7 Ba 0.7500 0.7500 0.2500  4 Se 3.58, 4 I 3.58
8 Ba 0.7500 0.7500 0.7500  4 Se 3.58, 4 I 3.58
9 Se 0.0000 0.0000 0.0000  8 Ba 3.58
10 Se 0.0000 0.5000 0.5000  8 Ba 3.58
11 Se 0.5000 0.0000 0.5000  8 Ba 3.58
12 Se 0.5000 0.5000 0.0000  8 Ba 3.58
13 I 0.0000 0.0000 0.5000  8 Ba 3.58
14 I 0.0000 0.5000 0.0000  8 Ba 3.58
15 I 0.5000 0.0000 0.0000  8 Ba 3.58
16 I 0.5000 0.5000 0.5000  8 Ba 3.58

**ΔE_f (raw)**: -1.50 eV per atom
**Calculated total energy**: -3.724 eV per atom
**Total magnetic moment**: 1.143 Bohr magnetons per cell



Density functional theory data (PBE) for a relaxed structure of NaCd2Ag4.

Cell lengths 7.3572, 7.3572, 7.3572 Å; angles 112.81, 112.81, 102.98 degrees
Last column: nearest neighbours and their distance in Å.
Atoms (fractional coordinates):
1 Na 0.0000 0.0000 0.0000  8 Ag 2.89-3.05
2 Na 0.7500 0.2500 0.5000  4 Ag 3.03
3 Cd 0.2696 0.6415 0.0625  8 Ag 2.86-3.11
4 Cd 0.3585 0.4210 0.6281  8 Ag 2.86-3.11
5 Cd 0.5790 0.2071 0.9375  8 Ag 2.86-3.11
6 Cd 0.7929 0.7304 0.3719  8 Ag 2.86-3.11
7 Ag 0.0520 0.4644 0.2680  5 Ag 2.83-3.06, 4 Cd 2.92-3.11, 1 Na 3.05
8 Ag 0.1314 0.1745 0.7567  3 Ag 2.83-2.97, 4 Cd 2.86-2.94, 2 Na 2.89-3.03
9 Ag 0.1964 0.7840 0.7320  5 Ag 2.83-3.06, 4 Cd 2.92-3.11, 1 Na 3.05
10 Ag 0.2160 0.9480 0.4124  5 Ag 2.83-3.06, 4 Cd 2.92-3.11, 1 Na 3.05
11 Ag 0.4178 0.3747 0.2433  3 Ag 2.83-2.97, 4 Cd 2.86-2.94, 2 Na 2.89-3.03
12 Ag 0.5356 0.8036 0.5876  5 Ag 2.83-3.06, 4 Cd 2.92-3.11, 1 Na 3.05
13 Ag 0.6253 0.8686 0.0431  3 Ag 2.83-2.97, 4 Cd 2.86-2.94, 2 Na 2.89-3.03
14 Ag 0.8255 0.5822 0.9569  3 Ag 2.83-2.97, 4 Cd 2.86-2.94, 2 Na 2.89-3.03

**Formation enthalpy at 0 K**: 31 meV per atom
**Calculated total energy**: -2.048 eV per atom
**Total magnetic moment**: 0.000 Bohr magnetons per cell



Density functional theory data (PBE) for a relaxed structure of LaCdFe2.

Cell lengths 3.1762, 3.1762, 7.6582 Å; angles 90.00, 90.00, 90.00 degrees
Last column: nearest neighbours and their distance in Å.
Atoms (fractional coordinates):
1 La 0.0000 0.0000 0.0000  5 Fe 3.12-3.19, 4 La 3.18
2 Cd 0.5000 0.5000 0.3490  5 Fe 2.83-2.88
3 Fe 0.0000 0.0000 0.5834  4 Fe 2.47
4 Fe 0.5000 0.5000 0.7181  4 Fe 2.47

**Formation enthalpy at 0 K**: 144 meV per atom
**Calculated total energy**: -5.548 eV per atom
**Total magnetic moment**: 4.525 Bohr magnetons per cell



Density functional theory data (PBE) for a relaxed structure of PmNd2Cu2Ge2.

Cell lengths 10.3305, 10.3305, 10.3305 Å; angles 24.14, 24.14, 24.14 degrees
Last column: nearest neighbours and their distance in Å.
Atoms (fractional coordinates):
1 Pm 0.0000 0.0000 0.0000  6 Cu 3.14, 6 Ge 3.17
2 Nd 0.1241 0.1241 0.1241  3 Ge 3.06, 3 Cu 3.09
3 Nd 0.8759 0.8759 0.8759  3 Ge 3.06, 3 Cu 3.09
4 Cu 0.3969 0.3969 0.3969  3 Ge 2.49
5 Cu 0.6031 0.6031 0.6031  3 Ge 2.49
6 Ge 0.2684 0.2684 0.2684  3 Cu 2.49
7 Ge 0.7316 0.7316 0.7316  3 Cu 2.49

**Formation enthalpy at 0 K**: -492 meV per atom
**Calculated total energy**: -5.022 eV per atom
**Total magnetic moment**: 0.000 Bohr magnetons per cell



Density functional theory data (PBE) for a relaxed structure of ScPa2Bi.

Cell lengths 3.2522, 3.2522, 35.9558 Å; angles 90.00, 90.00, 120.00 degrees
Last column: nearest neighbours and their distance in Å.
Atoms (fractional coordinates):
1 Sc 0.0000 0.0000 0.0000  6 Sc 3.25, 6 Pa 3.33
2 Sc 0.3333 0.6667 0.6667  6 Sc 3.25, 6 Pa 3.33
3 Sc 0.6667 0.3333 0.3333  6 Sc 3.25, 6 Pa 3.33
4 Pa 0.0000 0.0000 0.4097  1 Bi 3.25, 6 Pa 3.25, 3 Sc 3.33
5 Pa 0.0000 0.0000 0.5903  1 Bi 3.25, 6 Pa 3.25, 3 Sc 3.33
6 Pa 0.3333 0.6667 0.0764  1 Bi 3.25, 6 Pa 3.25, 3 Sc 3.33
7 Pa 0.3333 0.6667 0.2570  1 Bi 3.25, 6 Pa 3.25, 3 Sc 3.33
8 Pa 0.6667 0.3333 0.7430  1 Bi 3.25, 6 Pa 3.25, 3 Sc 3.33
9 Pa 0.6667 0.3333 0.9236  1 Bi 3.25, 6 Pa 3.25, 3 Sc 3.33
10 Bi 0.0000 0.0000 0.5000  2 Pa 3.25, 6 Bi 3.25
11 Bi 0.3333 0.6667 0.1667  2 Pa 3.25, 6 Bi 3.25
12 Bi 0.6667 0.3333 0.8333  2 Pa 3.25, 6 Bi 3.25

**Formation enthalpy at 0 K**: 253 meV per atom
**Calculated total energy**: -7.048 eV per atom
**Total magnetic moment**: 0.005 Bohr magnetons per cell



Density functional theory data (PBE) for a relaxed structure of Nd2BeO.

Cell lengths 3.6388, 3.6388, 25.4266 Å; angles 90.00, 90.00, 120.00 degrees
Last column: nearest neighbours and their distance in Å.
Atoms (fractional coordinates):
1 Nd 0.0000 0.0000 0.1140  3 O 2.49
2 Nd 0.0000 0.0000 0.8860  3 O 2.49
3 Nd 0.3333 0.6667 0.5527  3 O 2.49
4 Nd 0.3333 0.6667 0.7807  3 O 2.49
5 Nd 0.6667 0.3333 0.2193  3 O 2.49
6 Nd 0.6667 0.3333 0.4473  3 O 2.49
7 Be 0.0000 0.0000 0.0000  2 Nd 2.90
8 Be 0.3333 0.6667 0.6667  2 Nd 2.90
9 Be 0.6667 0.3333 0.3333  2 Nd 2.90
10 O 0.0000 0.0000 0.5000  6 Nd 2.49
11 O 0.3333 0.6667 0.1667  6 Nd 2.49
12 O 0.6667 0.3333 0.8333  6 Nd 2.49

**ΔE_f (raw)**: -0.57 eV per atom
**Calculated total energy**: -5.128 eV per atom
**Total magnetic moment**: 0.000 Bohr magnetons per cell



Density functional theory data (PBE) for a relaxed structure of Ca2CoSn2.

Cell lengths 7.0696, 7.0696, 4.9556 Å; angles 90.00, 90.00, 90.00 degrees
Last column: nearest neighbours and their distance in Å.
Atoms (fractional coordinates):
1 Ca 0.1678 0.3322 0.0000  6 Sn 3.08-3.34, 1 Ca 3.36
2 Ca 0.3322 0.8322 0.0000  6 Sn 3.08-3.34, 1 Ca 3.36
3 Ca 0.6678 0.1678 0.0000  6 Sn 3.08-3.34, 1 Ca 3.36
4 Ca 0.8322 0.6678 0.0000  6 Sn 3.08-3.34, 1 Ca 3.36
5 Co 0.0000 0.0000 0.5000  4 Sn 2.69
6 Co 0.5000 0.5000 0.5000  4 Sn 2.69
7 Sn 0.1495 0.6495 0.5000  2 Co 2.69, 1 Sn 2.99
8 Sn 0.3505 0.1495 0.5000  2 Co 2.69, 1 Sn 2.99
9 Sn 0.6495 0.8505 0.5000  2 Co 2.69, 1 Sn 2.99
10 Sn 0.8505 0.3505 0.5000  2 Co 2.69, 1 Sn 2.99

**Formation enthalpy at 0 K**: -307 meV per atom
**Calculated total energy**: -4.130 eV per atom
**Total magnetic moment**: 1.758 Bohr magnetons per cell



Density functional theory data (PBE) for a relaxed structure of NaYCd2O4.

Cell lengths 4.7226, 4.7226, 9.7835 Å; angles 90.00, 90.00, 90.00 degrees
Last column: nearest neighbours and their distance in Å.
Atoms (fractional coordinates):
1 Na 0.0000 0.0000 0.0000  6 O 2.36-2.60
2 Na 0.5000 0.5000 0.5000  6 O 2.36-2.60
3 Y 0.0000 0.0000 0.5000  6 O 2.29-2.36
4 Y 0.5000 0.5000 0.0000  6 O 2.29-2.36
5 Cd 0.0000 0.5000 0.2500  6 O 2.37-2.45
6 Cd 0.0000 0.5000 0.7500  6 O 2.37-2.45
7 Cd 0.5000 0.0000 0.2500  6 O 2.37-2.45
8 Cd 0.5000 0.0000 0.7500  6 O 2.37-2.45
9 O 0.0000 0.0000 0.2659  1 Y 2.29, 4 Cd 2.37
10 O 0.0000 0.0000 0.7341  1 Y 2.29, 4 Cd 2.37
11 O 0.0000 0.5000 0.0000  2 Na 2.36, 2 Y 2.36, 2 Cd 2.45
12 O 0.0000 0.5000 0.5000  2 Na 2.36, 2 Y 2.36, 2 Cd 2.45
13 O 0.5000 0.0000 0.0000  2 Na 2.36, 2 Y 2.36, 2 Cd 2.45
14 O 0.5000 0.0000 0.5000  2 Na 2.36, 2 Y 2.36, 2 Cd 2.45
15 O 0.5000 0.5000 0.2341  1 Y 2.29, 4 Cd 2.37
16 O 0.5000 0.5000 0.7659  1 Y 2.29, 4 Cd 2.37

**ΔE_f (raw)**: -1.88 eV per atom
**Calculated total energy**: -5.563 eV per atom
**Total magnetic moment**: 0.000 Bohr magnetons per cell



Density functional theory data (PBE) for a relaxed structure of Sc3SiCl.

Cell lengths 4.6927, 4.6927, 4.6927 Å; angles 90.00, 90.00, 90.00 degrees
Last column: nearest neighbours and their distance in Å.
Atoms (fractional coordinates):
1 Sc 0.0000 0.0000 0.5000  2 Cl 2.35
2 Sc 0.0000 0.5000 0.0000  2 Cl 2.35
3 Sc 0.5000 0.0000 0.0000  2 Cl 2.35
4 Si 0.5000 0.5000 0.5000  12 Sc 3.32
5 Cl 0.0000 0.0000 0.0000  6 Sc 2.35

**ΔE_f (raw)**: -0.31 eV per atom
**Calculated total energy**: -5.560 eV per atom
**Total magnetic moment**: 0.000 Bohr magnetons per cell



Density functional theory data (PBE) for a relaxed structure of Be2InCl.

Cell lengths 5.5894, 7.1859, 4.1335 Å; angles 90.00, 118.68, 90.00 degrees
Last column: nearest neighbours and their distance in Å.
Atoms (fractional coordinates):
1 Be 0.2500 0.2500 0.0000  2 In 2.58, 2 Cl 2.58, 2 Be 2.79
2 Be 0.2500 0.7500 0.0000  2 Cl 2.58, 2 In 2.58, 2 Be 2.79
3 Be 0.7500 0.2500 0.0000  2 Cl 2.58, 2 In 2.58, 2 Be 2.79
4 Be 0.7500 0.7500 0.0000  2 Cl 2.58, 2 In 2.58, 2 Be 2.79
5 In 0.0000 0.0000 0.5000  4 Be 2.58, 2 Cl 2.79
6 In 0.5000 0.5000 0.5000  4 Be 2.58, 2 Cl 2.79
7 Cl 0.0000 0.5000 0.5000  4 Be 2.58, 2 In 2.79
8 Cl 0.5000 0.0000 0.5000  4 Be 2.58, 2 In 2.79

**ΔE_f (raw)**: 0.54 eV per atom
**Calculated total energy**: -2.465 eV per atom
**Total magnetic moment**: 0.000 Bohr magnetons per cell